[1]
Density functional theory data (GGA-PBE) for an optimized crystal structure of Tm8MgAl2.

DOS(E_F): 12.8 states/eV/f.u.
E: -4.090 eV per atom
ΔE_f: -0.012 eV/atom

Cell lengths 8.695, 14.219, 5.447 Å; angles 90.00, 112.89, 90.00 degrees
Space group C2/m (No. 12)
Symmetry-distinct sites (fractional):
Tm1 0.000 0.223 0.000
Tm2 0.103 0.500 0.803
Tm3 0.210 0.120 0.609
Mg1 0.000 0.000 0.000
Al1 0.000 0.306 0.500

***

[2]
Density functional theory data (GGA-PBE) for an optimized crystal structure of Er4Al12Ir.

DOS(E_F): 9.2 states/eV/f.u.
E: -4.773 eV per atom
ΔE_f: -0.537 eV/atom

Cell lengths 8.601, 8.601, 8.601 Å; angles 90.00, 90.00, 90.00 degrees
Space group Im-3m (No. 229)
Symmetry-distinct sites (fractional):
Er1 0.250 0.250 0.250
Al1 0.000 0.000 0.289
Al2 0.000 0.250 0.500
Ir1 0.000 0.000 0.000

***

[3]
Density functional theory data (GGA-PBE) for an optimized crystal structure of ReSiCl.

energy relative to the elements, uncorrected: 312 meV/atom
DOS(E_F): 0.2 states/eV/f.u.
E: -6.261 eV per atom
energy above the lowest structure with this stoichiometry: 0.00 kcal/mol of atoms

Cell lengths 3.0046, 3.0046, 7.3894 Å; angles 90.00, 90.00, 120.00 degrees
Space group P3m1 (No. 156)
Symmetry-distinct sites (fractional):
Re1 0.0000 0.0000 0.0000
Si1 0.3333 0.6667 0.2195
Cl1 0.6667 0.3333 0.4594

***

[4]
Density functional theory data (GGA-PBE) for an optimized crystal structure of Sm8Er2Cd.

DOS(E_F): 15.7 states/eV/f.u.
E: -4.357 eV per atom
energy above the lowest structure with this stoichiometry: 0.00 kcal/mol of atoms
ΔE_f: -0.012 eV/atom

Cell lengths 11.308, 5.056, 12.668 Å; angles 90.00, 104.36, 90.00 degrees
Space group C2/m (No. 12)
Symmetry-distinct sites (fractional):
Sm1 0.037 0.000 0.322
Sm2 0.091 0.500 0.140
Sm3 0.140 0.000 0.953
Sm4 0.243 0.000 0.588
Er1 0.185 0.500 0.763
Cd1 0.000 0.500 0.500